ScTa2Ru at its PBEsol-relaxed geometry. Source: Alexandria, functional SCAN.

## Properties
Uncorrected energy = -45.444 eV per atom
Crystal system = trigonal
Space-group type = R-3m (166)
ΔE_f = 0.11 eV/atom

Geometry as POSCAR:
```
ScTa2Ru
1.0
-0.376 1.914 -2.222
-2.161 2.013 0.132
4.921 7.230 3.427
Ta Sc Ru
2 1 1
Cartesian
1.920 8.503 1.098 Ta
0.463 2.653 0.240 Ta
1.192 5.578 0.669 Sc
0.000 0.000 0.000 Ru
```